No. 1
This record from the Alexandria database describes crystalline NiHg at its relaxed geometry. The functional is GGA-PBE.

abc: 7.8671 7.8671 4.3799
angles: 90.00 90.00 90.00
Last column: nearest neighbours and their distance in Å.
Fractional coordinates of all 16 atoms:
Ni 0.3360 0.3360 0.5000  2 Ni 2.58, 6 Hg 2.68-2.70
Ni 0.8360 0.1640 0.0000  2 Ni 2.58, 6 Hg 2.68-2.70
Ni 0.1640 0.8360 0.0000  2 Ni 2.58, 6 Hg 2.68-2.70
Ni 0.6640 0.6640 0.5000  2 Ni 2.58, 6 Hg 2.68-2.70
Ni 0.3360 0.6640 0.5000  2 Ni 2.58, 6 Hg 2.68-2.70
Ni 0.8360 0.8360 0.0000  2 Ni 2.58, 6 Hg 2.68-2.70
Ni 0.1640 0.1640 0.0000  2 Ni 2.58, 6 Hg 2.68-2.70
Ni 0.6640 0.3360 0.5000  2 Ni 2.58, 6 Hg 2.68-2.70
Hg 0.0000 0.7205 0.5000  6 Ni 2.68-2.70
Hg 0.7795 0.5000 0.0000  6 Ni 2.68-2.70
Hg 0.5000 0.7795 0.0000  6 Ni 2.68-2.70
Hg 0.0000 0.2795 0.5000  6 Ni 2.68-2.70
Hg 0.2205 0.5000 0.0000  6 Ni 2.68-2.70
Hg 0.5000 0.2205 0.0000  6 Ni 2.68-2.70
Hg 0.2795 0.0000 0.5000  6 Ni 2.68-2.70
Hg 0.7205 0.0000 0.5000  6 Ni 2.68-2.70

Results
Space group   No. 139
Total energy   -2.790 eV/atom

---

No. 2
This record from the Alexandria database describes crystalline Ni2Hg at its relaxed geometry. The functional is GGA-PBE.

abc: 2.8173 2.8173 13.3309
angles: 90.00 90.00 120.00
Last column: nearest neighbours and their distance in Å.
Fractional coordinates of all 6 atoms:
Ni 0.3333 0.6667 0.7051  3 Ni 2.44
Ni 0.3333 0.6667 0.4314  6 Ni 2.44-2.45
Ni 0.6667 0.3333 0.2949  3 Ni 2.44
Ni 0.6667 0.3333 0.5686  6 Ni 2.44-2.45
Hg 0.3333 0.6667 0.1212  6 Hg 2.82, 3 Ni 2.83
Hg 0.6667 0.3333 0.8788  6 Hg 2.82, 3 Ni 2.83

Results
Space group   No. 164
Total energy   -3.567 eV/atom

---

No. 3
This record from the Alexandria database describes crystalline NiHg at its relaxed geometry. The functional is GGA-PBE.

abc: 4.4500 4.4500 5.1822
angles: 90.00 90.00 120.00
Last column: nearest neighbours and their distance in Å.
Fractional coordinates of all 4 atoms:
Hg 0.3333 0.6667 0.7500  5 Ni 2.57-2.59
Hg 0.6667 0.3333 0.2500  5 Ni 2.57-2.59
Ni 0.6667 0.3333 0.7500  5 Hg 2.57-2.59
Ni 0.3333 0.6667 0.2500  5 Hg 2.57-2.59

Results
Space group   No. 194
Total energy   -2.368 eV/atom

---

No. 4
This record from the Alexandria database describes crystalline NiHg at its relaxed geometry. The functional is GGA-PBE.

abc: 4.6724 4.6724 7.5217
angles: 90.00 90.00 120.00
Last column: nearest neighbours and their distance in Å.
Fractional coordinates of all 8 atoms:
Ni 0.6667 0.3333 0.5941  1 Ni 2.35, 1 Hg 2.59
Ni 0.6667 0.3333 0.9059  1 Ni 2.35, 1 Hg 2.59
Ni 0.3333 0.6667 0.4059  1 Ni 2.35, 1 Hg 2.59
Ni 0.3333 0.6667 0.0941  1 Ni 2.35, 1 Hg 2.59
Hg 0.0000 0.0000 0.2500  3 Hg 2.70, 6 Ni 2.94
Hg 0.3333 0.6667 0.7500  2 Ni 2.59, 3 Hg 2.70
Hg 0.6667 0.3333 0.2500  2 Ni 2.59, 3 Hg 2.70
Hg 0.0000 0.0000 0.7500  3 Hg 2.70, 6 Ni 2.94

Results
Space group   No. 194
Total energy   -2.503 eV/atom

---

- Which of these has the highest total energy?
  number 3